Entry from the Alexandria database: a geometry-optimized MnCoPIrF structure (GGA+U).

D(E_F) = 3.645 states/eV per cell
uncorrected energy = -6.1613 eV/atom
crystal system = monoclinic
space group = Cm (8)

Cell: 4.068 3.002 14.418 Å, 90.00 72.68 90.00°
Atoms (fractional coordinates):
P (0.174, 0.000, 0.464)
P (0.174, 0.500, 0.964)
Ir (0.755, 0.000, 0.387)
Ir (0.755, 0.500, 0.887)
Co (0.338, 0.000, 0.810)
Co (0.338, 0.500, 0.310)
Mn (0.574, 0.000, 0.046)
Mn (0.574, 0.500, 0.546)
F (0.446, 0.000, 0.189)
F (0.446, 0.500, 0.689)